No. 1
First-principles (PBE-GGA) data for crystalline CeTi2BeN4 at its relaxed geometry, as listed in Alexandria.

VASP energy: -0.32539 Ha/atom
size of the total moment: 0.4 μB per formula unit
ρ: 6.0 g/cm³
ΔE_f (raw): -12.084 eV per formula unit

```
data_CeTi2BeN4
_chemical_formula_sum 'Ce2 Ti4 Be2 N8'
_space_group_name_H-M_alt 'P 1'
_space_group_IT_number 1
_space_group_name_Hall 'P 1'
_cell_length_a 3.1012
_cell_length_b 5.3960
_cell_length_c 10.3191
_cell_angle_alpha 90.00
_cell_angle_beta 90.00
_cell_angle_gamma 106.70
loop_
_atom_site_label
_atom_site_type_symbol
_atom_site_fract_x
_atom_site_fract_y
_atom_site_fract_z
Ce1 Ce 0.1025 0.2049 0.7500
Ce2 Ce 0.8975 0.7951 0.2500
Ti1 Ti 0.3695 0.7390 0.5478
Ti2 Ti 0.6305 0.2610 0.0478
Ti3 Ti 0.6305 0.2610 0.4522
Ti4 Ti 0.3695 0.7390 0.9522
Be1 Be 0.8312 0.6623 0.7500
Be2 Be 0.1688 0.3377 0.2500
N1 N 0.2645 0.5290 0.1161
N2 N 0.7355 0.4710 0.6161
N3 N 0.7355 0.4710 0.8839
N4 N 0.2645 0.5290 0.3839
N5 N 0.0000 0.0000 0.5000
N6 N 0.0000 0.0000 0.0000
N7 N 0.4178 0.8356 0.7500
N8 N 0.5822 0.1644 0.2500
```



No. 2
First-principles (PBE-GGA) data for crystalline LiVSb2 at its relaxed geometry, as listed in Alexandria.

distance to the lowest polymorph of the same formula: 0 meV/atom
VASP energy: -0.18354 Ha/atom
size of the total moment: 0.2 μB per formula unit
ρ: 6.0 g/cm³
ΔE_f (raw): -0.700 eV per formula unit

```
data_LiVSb2
_chemical_formula_sum 'Li1 V1 Sb2'
_space_group_name_H-M_alt 'P 1'
_space_group_IT_number 1
_space_group_name_Hall 'P 1'
_cell_length_a 3.4084
_cell_length_b 3.4084
_cell_length_c 8.5287
_cell_angle_alpha 78.47
_cell_angle_beta 78.47
_cell_angle_gamma 60.00
loop_
_atom_site_label
_atom_site_type_symbol
_atom_site_fract_x
_atom_site_fract_y
_atom_site_fract_z
Sb1 Sb 0.2575 0.2575 0.2275
Sb2 Sb 0.7425 0.7425 0.7725
Li1 Li 0.5000 0.5000 0.5000
V1 V 0.0000 0.0000 0.0000
```



No. 3
First-principles (PBE-GGA) data for crystalline Tm2PuPt at its relaxed geometry, as listed in Alexandria.

distance to the lowest polymorph of the same formula: 0 meV/atom
formation energy: -2.27 eV per formula unit
VASP energy: -0.29015 Ha/atom
size of the total moment: 6.7 μB per formula unit
ρ: 12.9 g/cm³

```
data_Tm2PuPt
_chemical_formula_sum 'Tm2 Pu1 Pt1'
_space_group_name_H-M_alt 'P 1'
_space_group_IT_number 1
_space_group_name_Hall 'P 1'
_cell_length_a 3.4700
_cell_length_b 3.4700
_cell_length_c 8.3084
_cell_angle_alpha 90.00
_cell_angle_beta 90.00
_cell_angle_gamma 90.00
loop_
_atom_site_label
_atom_site_type_symbol
_atom_site_fract_x
_atom_site_fract_y
_atom_site_fract_z
Tm1 Tm 0.0000 0.0000 0.8016
Tm2 Tm 0.0000 0.0000 0.1984
Pt1 Pt 0.5000 0.5000 0.0000
Pu1 Pu 0.5000 0.5000 0.5000
```



No. 4
First-principles (PBE-GGA) data for crystalline EuTlAu4 at its relaxed geometry, as listed in Alexandria.

formation energy: -2.36 eV per formula unit
VASP energy: -0.17214 Ha/atom
size of the total moment: 7.0 μB per formula unit
ρ: 14.4 g/cm³

```
data_EuTlAu4
_chemical_formula_sum 'Eu1 Tl1 Au4'
_space_group_name_H-M_alt 'P 1'
_space_group_IT_number 1
_space_group_name_Hall 'P 1'
_cell_length_a 5.7197
_cell_length_b 5.7197
_cell_length_c 5.7197
_cell_angle_alpha 60.00
_cell_angle_beta 60.00
_cell_angle_gamma 60.00
loop_
_atom_site_label
_atom_site_type_symbol
_atom_site_fract_x
_atom_site_fract_y
_atom_site_fract_z
Eu1 Eu 0.2500 0.2500 0.2500
Tl1 Tl 0.0000 0.0000 0.0000
Au1 Au 0.6250 0.6250 0.1250
Au2 Au 0.6250 0.1250 0.6250
Au3 Au 0.6250 0.6250 0.6250
Au4 Au 0.1250 0.6250 0.6250
```



No. 5
First-principles (PBE-GGA) data for crystalline LiBe2Cu2 at its relaxed geometry, as listed in Alexandria.

distance to the lowest polymorph of the same formula: 0 meV/atom
formation energy: -0.40 eV per formula unit
VASP energy: -0.13201 Ha/atom
size of the total moment: 0.0 μB per formula unit
ρ: 4.7 g/cm³

```
data_LiBe2Cu2
_chemical_formula_sum 'Li2 Be4 Cu4'
_space_group_name_H-M_alt 'P 1'
_space_group_IT_number 1
_space_group_name_Hall 'P 1'
_cell_length_a 6.4949
_cell_length_b 6.4949
_cell_length_c 2.5473
_cell_angle_alpha 90.00
_cell_angle_beta 90.00
_cell_angle_gamma 90.00
loop_
_atom_site_label
_atom_site_type_symbol
_atom_site_fract_x
_atom_site_fract_y
_atom_site_fract_z
Be1 Be 0.3746 0.8746 0.0000
Be2 Be 0.8746 0.6254 0.0000
Be3 Be 0.6254 0.1254 0.0000
Be4 Be 0.1254 0.3746 0.0000
Cu1 Cu 0.1681 0.6681 0.5000
Cu2 Cu 0.6681 0.8319 0.5000
Cu3 Cu 0.8319 0.3319 0.5000
Cu4 Cu 0.3319 0.1681 0.5000
Li1 Li 0.0000 0.0000 0.0000
Li2 Li 0.5000 0.5000 0.0000
```



No. 6
First-principles (PBE-GGA) data for crystalline LaScAl at its relaxed geometry, as listed in Alexandria.

distance to the lowest polymorph of the same formula: 33 meV/atom
formation energy: -0.61 eV per formula unit
VASP energy: -0.19122 Ha/atom
size of the total moment: 0.0 μB per formula unit
ρ: 4.5 g/cm³

```
data_LaScAl
_chemical_formula_sum 'La1 Sc1 Al1'
_space_group_name_H-M_alt 'P 1'
_space_group_IT_number 1
_space_group_name_Hall 'P 1'
_cell_length_a 7.1127
_cell_length_b 7.1127
_cell_length_c 3.4149
_cell_angle_alpha 76.11
_cell_angle_beta 76.11
_cell_angle_gamma 27.78
loop_
_atom_site_label
_atom_site_type_symbol
_atom_site_fract_x
_atom_site_fract_y
_atom_site_fract_z
Sc1 Sc 0.6411 0.6411 0.3589
Al1 Al 0.0133 0.0133 0.9867
La1 La 0.3456 0.3456 0.6544
```



The lowest VASP energy belongs to which entry? CeTi2BeN4



The lowest VASP energy belongs to which entry? CeTi2BeN4